[1]
! AgPb (PBE, optimized geometry); values from VASP
&SYSTEM
  ibrav = 0, nat = 2, ntyp = 2
/
ATOMIC_SPECIES
Ag 107.87 Ag.upf
Pb 207.20 Pb.upf
ATOMIC_POSITIONS angstrom
Ag 0.0000 0.0000 0.0000
Pb 1.6277 1.6277 1.6277
CELL_PARAMETERS angstrom
0.0000 3.2554 3.2554
3.2554 0.0000 3.2554
3.2554 3.2554 0.0000
! Total magnetic moment, μB per formula unit: 0.000
! Final energy, eV per atom: -2.758
! Energy of formation, eV/atom: 0.522
! Crystal system: cubic
! Theoretical density, g cm⁻³: 7.58

---

[2]
! CsLiAu (PBE, optimized geometry); values from VASP
&SYSTEM
  ibrav = 0, nat = 3, ntyp = 3
/
ATOMIC_SPECIES
Cs 132.91 Cs.upf
Li 6.94 Li.upf
Au 196.97 Au.upf
ATOMIC_POSITIONS angstrom
Cs 0.0000 0.0000 0.0000
Li 2.3110 1.3343 2.8265
Au 0.0000 2.6685 2.8265
CELL_PARAMETERS angstrom
4.6220 0.0000 0.0000
-2.3110 4.0028 0.0000
0.0000 0.0000 5.6529
! Total magnetic moment, μB per formula unit: 0.000
! Final energy, eV per atom: -2.228
! Energy of formation, eV/atom: -0.213
! Crystal system: hexagonal
! Theoretical density, g cm⁻³: 5.35

---

How do the records compare in density of states at the Fermi level? In the order shown, they have 0.82; 0.72 states/eV/atom.